A plane-wave DFT calculation with PBE was carried out for a relaxed SmScTl2S4 crystal.

Calculated values
total DFT energy (no corrections): -43.5 eV per cell
magnetic moment: 0.0 μB/cell

abc: 3.9735 6.8785 7.8349
angles: 106.97 90.00 90.00
Closest atoms and distances in Å follow each position.
Atoms (fractional coordinates):
S: 0.0000 0.7501 0.1985  1 Sc 2.63, 2 Sm 2.79
S: 0.5000 0.2147 0.1917  2 Sc 2.66, 1 Sm 2.80
S: 0.5000 0.7853 0.8083  2 Sc 2.66, 1 Sm 2.80
S: 0.0000 0.2499 0.8015  1 Sc 2.63, 2 Sm 2.79
Tl: 0.0000 0.5000 0.5000  6 S 3.30
Tl: 0.5000 0.0000 0.5000  6 S 3.18
Sc: 0.0000 0.0000 0.0000  6 S 2.63-2.66
Sm: 0.5000 0.5000 0.0000  6 S 2.79-2.80

A plane-wave DFT calculation with PBE was carried out for a relaxed SmSc2Tl3S6 crystal.

Calculated values
total DFT energy (no corrections): -65.9 eV per cell
magnetic moment: 0.0 μB/cell

abc: 6.7823 6.7823 7.8212
angles: 98.32 98.32 119.91
Closest atoms and distances in Å follow each position.
Atoms (fractional coordinates):
Sm: 0.0000 0.0000 0.0000  6 S 2.78-2.80
Tl: 0.5000 0.5000 0.5000  6 S 3.15-3.27
Tl: 0.8369 0.1631 0.5000  6 S 3.15-3.27
Tl: 0.1631 0.8369 0.5000  6 S 3.15-3.27
S: 0.5829 0.9355 0.8058  2 Sc 2.64, 1 Sm 2.80
S: 0.9355 0.5829 0.8058  2 Sc 2.64, 1 Sm 2.80
S: 0.2890 0.2890 0.8099  2 Sc 2.62, 1 Sm 2.78
S: 0.7110 0.7110 0.1901  2 Sc 2.62, 1 Sm 2.78
S: 0.0645 0.4171 0.1942  2 Sc 2.64, 1 Sm 2.80
S: 0.4171 0.0645 0.1942  2 Sc 2.64, 1 Sm 2.80
Sc: 0.6666 0.3334 0.0000  6 S 2.62-2.64
Sc: 0.3334 0.6666 0.0000  6 S 2.62-2.64

A plane-wave DFT calculation with PBE was carried out for a relaxed SmTm4ScS8 crystal.

Calculated values
total DFT energy (no corrections): -88.5 eV per cell
magnetic moment: 0.0 μB/cell

abc: 7.9811 7.9811 7.8787
angles: 59.57 59.57 60.00
Closest atoms and distances in Å follow each position.
Atoms (fractional coordinates):
S: 0.7864 0.2333 0.7469  1 Sc 2.63, 1 Sm 2.66, 2 Tm 2.70
S: 0.7614 0.2258 0.2513  3 Tm 2.58-2.73, 1 Sc 2.67
S: 0.7614 0.7614 0.2513  3 Tm 2.58-2.73, 1 Sc 2.67
S: 0.7567 0.7567 0.7298  4 Tm 2.57-2.73
S: 0.2333 0.2333 0.7469  1 Sc 2.63, 1 Sm 2.66, 2 Tm 2.70
S: 0.2258 0.7614 0.2513  3 Tm 2.58-2.73, 1 Sc 2.67
S: 0.2407 0.2407 0.2780  1 Sm 2.65, 3 Tm 2.71
S: 0.2333 0.7864 0.7469  1 Sc 2.63, 1 Sm 2.66, 2 Tm 2.70
Sc: 0.9991 0.9991 0.0026  6 S 2.63-2.67
Tm: 0.9997 0.9997 0.4999  6 S 2.70-2.73
Tm: 0.6227 0.6227 0.1319  4 S 2.57-2.58
Tm: 0.9997 0.5006 0.4999  6 S 2.70-2.73
Tm: 0.5006 0.9997 0.4999  6 S 2.70-2.73
Sm: 0.3789 0.3789 0.8634  4 S 2.65-2.66

A plane-wave DFT calculation with PBE was carried out for a relaxed SmTm2ScS4 crystal.

Calculated values
total DFT energy (no corrections): -51.8 eV per cell
magnetic moment: 0.0 μB/cell

abc: 3.8195 6.7191 6.6822
angles: 109.01 90.00 90.00
Closest atoms and distances in Å follow each position.
Atoms (fractional coordinates):
Sc: 0.0000 0.0000 0.0000  6 S 2.69-2.70
Sm: 0.5000 0.5000 0.0000  6 S 2.78
S: 0.0000 0.2369 0.7428  3 Tm 2.67-2.76, 1 Sc 2.70, 2 Sm 2.78
S: 0.5000 0.7608 0.7509  3 Tm 2.67-2.76, 2 Sc 2.69, 1 Sm 2.78
S: 0.5000 0.2392 0.2491  3 Tm 2.67-2.76, 2 Sc 2.69, 1 Sm 2.78
S: 0.0000 0.7631 0.2572  3 Tm 2.67-2.76, 1 Sc 2.70, 2 Sm 2.78
Tm: 0.0000 0.5000 0.5000  6 S 2.76
Tm: 0.5000 0.0000 0.5000  6 S 2.67

A plane-wave DFT calculation with PBE was carried out for a relaxed SmTm2Sc3S6 crystal.

Calculated values
total DFT energy (no corrections): -80.3 eV per cell
magnetic moment: 0.0 μB/cell

abc: 3.7884 7.6282 8.4770
angles: 102.88 102.91 90.00
Closest atoms and distances in Å follow each position.
Atoms (fractional coordinates):
S: 0.0017 0.7330 0.0034  3 Sc 2.59-2.61, 1 Tm 2.69, 2 Sm 2.79
S: 0.6653 0.5885 0.3305  3 Sc 2.66-2.67, 3 Tm 2.72-2.73
S: 0.9983 0.2670 0.9966  3 Sc 2.59-2.61, 1 Tm 2.69, 2 Sm 2.79
S: 0.6737 0.0809 0.3473  3 Sc 2.61-2.65, 2 Tm 2.71, 1 Sm 2.79
S: 0.3263 0.9191 0.6527  3 Sc 2.61-2.65, 2 Tm 2.71, 1 Sm 2.79
S: 0.3347 0.4115 0.6695  3 Sc 2.66-2.67, 3 Tm 2.72-2.73
Sc: 0.8361 0.1651 0.6721  6 S 2.61-2.67
Sc: 0.1639 0.8349 0.3279  6 S 2.61-2.67
Sc: 0.5000 0.5000 0.0000  6 S 2.59-2.66
Tm: 0.8346 0.6694 0.6692  6 S 2.69-2.73
Tm: 0.1654 0.3306 0.3308  6 S 2.69-2.73
Sm: 0.5000 0.0000 0.0000  6 S 2.79

A plane-wave DFT calculation with PBE was carried out for a relaxed SmTmSc2S4 crystal.

Calculated values
total DFT energy (no corrections): -53.6 eV per cell
magnetic moment: 0.0 μB/cell

abc: 3.7781 6.6233 6.6255
angles: 70.95 90.00 90.00
Closest atoms and distances in Å follow each position.
Atoms (fractional coordinates):
Tm: 0.0000 0.5000 0.5000  6 S 2.73
Sc: 0.5000 0.0000 0.5000  6 S 2.60-2.61
Sc: 0.0000 0.0000 0.0000  6 S 2.66-2.67
S: 0.5000 0.2352 0.7478  3 Sc 2.61-2.66, 2 Tm 2.73, 1 Sm 2.79
S: 0.0000 0.2296 0.2642  3 Sc 2.60-2.67, 1 Tm 2.73, 2 Sm 2.79
S: 0.0000 0.7704 0.7358  3 Sc 2.60-2.67, 1 Tm 2.73, 2 Sm 2.79
S: 0.5000 0.7648 0.2522  3 Sc 2.61-2.66, 2 Tm 2.73, 1 Sm 2.79
Sm: 0.5000 0.5000 0.0000  6 S 2.79

A plane-wave DFT calculation with PBE was carried out for a relaxed Sm4TmSc3S8 crystal.

Calculated values
total DFT energy (no corrections): -106.4 eV per cell
magnetic moment: 0.0 μB/cell

abc: 7.6758 7.8186 7.6757
angles: 119.40 120.00 90.00
Closest atoms and distances in Å follow each position.
Atoms (fractional coordinates):
S: 0.2627 0.2732 0.0180  2 Sc 2.64, 1 Tm 2.68, 3 Sm 2.80-2.84
S: 0.7412 0.7235 0.4824  3 Sc 2.64, 3 Sm 2.84
S: 0.2448 0.7269 0.4896  2 Sc 2.64, 1 Tm 2.68, 3 Sm 2.80-2.84
S: 0.2448 0.7268 0.9820  2 Sc 2.64, 1 Tm 2.68, 3 Sm 2.80-2.84
S: 0.7552 0.2731 0.5104  2 Sc 2.64, 1 Tm 2.68, 3 Sm 2.80-2.84
S: 0.7552 0.2732 0.0180  2 Sc 2.64, 1 Tm 2.68, 3 Sm 2.80-2.84
S: 0.7373 0.7268 0.9820  2 Sc 2.64, 1 Tm 2.68, 3 Sm 2.80-2.84
S: 0.2588 0.2765 0.5176  3 Sc 2.64, 3 Sm 2.84
Sc: 0.5000 0.5000 0.5000  6 S 2.64
Sc: 0.5000 0.5000 0.0000  6 S 2.64
Sc: 0.0000 0.5000 0.5000  6 S 2.64
Sm: 0.0000 0.0000 0.0000  6 S 2.84
Sm: 0.5000 0.0000 0.5000  6 S 2.84
Sm: 0.0000 0.0000 0.5000  6 S 2.84
Sm: 0.5000 0.0000 0.0000  6 S 2.80
Tm: 0.0000 0.5000 0.0000  6 S 2.68

A plane-wave DFT calculation with PBE was carried out for a relaxed Sm2TmScS4 crystal.

Calculated values
total DFT energy (no corrections): -52.4 eV per cell
magnetic moment: 0.0 μB/cell

abc: 3.8383 6.6786 6.8708
angles: 108.80 90.00 90.00
Closest atoms and distances in Å follow each position.
Atoms (fractional coordinates):
Sc: 0.0000 0.0000 0.0000  6 S 2.65-2.66
Tm: 0.5000 0.5000 0.0000  6 S 2.69-2.70
S: 0.5000 0.2374 0.2271  2 Sc 2.65, 1 Tm 2.70, 3 Sm 2.82-2.86
S: 0.0000 0.7480 0.2305  1 Sc 2.66, 2 Tm 2.69, 3 Sm 2.82-2.85
S: 0.5000 0.7626 0.7729  2 Sc 2.65, 1 Tm 2.70, 3 Sm 2.82-2.86
S: 0.0000 0.2520 0.7695  1 Sc 2.66, 2 Tm 2.69, 3 Sm 2.82-2.85
Sm: 0.5000 0.0000 0.5000  6 S 2.82
Sm: 0.0000 0.5000 0.5000  6 S 2.85-2.86